LaReAg4 | PBE | relaxed Values from VASP.

```
&SYSTEM
  ibrav = 0, nat = 6, ntyp = 3
/
ATOMIC_SPECIES
La 138.91 La.upf
Re 186.21 Re.upf
Ag 107.87 Ag.upf
CELL_PARAMETERS angstrom
1.5981 -4.5401 -2.7779
-1.1533 -5.0455 2.0240
-3.7885 -3.2004 -2.5076
ATOMIC_POSITIONS angstrom
La -2.5079 -9.5895 -2.4461
Re 0.0000 0.0000 0.0000
Ag -0.4477 -7.0688 -2.6178
Ag -3.1569 -6.3949 -2.4818
Ag -1.8315 -7.3229 -0.2027
Ag -1.2515 -4.7853 -1.2207
```

E_tot in eV/atom: -4.346

Ni2IrAu | PBE | relaxed Values from VASP.

```
&SYSTEM
  ibrav = 0, nat = 4, ntyp = 3
/
ATOMIC_SPECIES
Au 196.97 Au.upf
Ir 192.22 Ir.upf
Ni 58.69 Ni.upf
CELL_PARAMETERS angstrom
-4.3611 1.2991 -0.1661
-2.3425 -3.6663 -1.3435
3.0279 0.4309 3.3735
ATOMIC_POSITIONS angstrom
Au -1.3332 -2.2095 0.6376
Ir -2.3425 0.2732 1.2263
Ni 0.0000 0.0000 0.0000
Ni -3.3518 -1.1836 -0.7548
```

Offset from the most stable computed form in eV per atom: 0.1220